Entry from Alexandria via LeMat-Bulk: a geometry-optimized RbMnV2O8 structure (GGA+U).

a b c (Å): 5.3983 5.3983 7.9877
angles (deg): 90.00 90.00 120.00
Closest atoms and distances in Å follow each position.
Space group P-3 (No. 147)
Asymmetric unit:
Rb (0.0000, 0.0000, 0.0000) (multiplicity 1)  12 O 3.19-3.26
Mn (0.0000, 0.0000, 0.5000) (multiplicity 1)  6 O 1.90
V (0.3333, 0.6667, 0.7036) (multiplicity 2)  4 O 1.68-1.76
O (0.0842, 0.3166, 0.6397) (multiplicity 6)  1 V 1.76, 1 Mn 1.90
O (0.3333, 0.6667, 0.9137) (multiplicity 2)  1 V 1.68

- theoretical density (Mg/m³) = 3.05
- spin magnetization (Bohr magnetons per cell) = 4.10
- electronic total energy (eV per atom) = -6.834